(1)
DFT (PBEsol) results for an optimized crystal structure of SmYAl2.

Results
Formation energy from the elements = -0.41 eV/atom

Lattice parameters (Å, degrees): 7.188 7.188 7.188 90.00 90.00 90.00
Space group Fm-3m (No. 225)
One atom of each set of equivalent atoms:
Sm: 0.000 0.000 0.000 [4 per cell]
Y: 0.000 0.000 0.500 [4 per cell]
Al: 0.250 0.250 0.250 [8 per cell]



(2)
DFT (PBEsol) results for an optimized crystal structure of SmAl2Zn2.

Results
Formation energy from the elements = -0.45 eV/atom

Lattice parameters (Å, degrees): 4.112 4.112 10.795 90.00 90.00 90.00
Space group I4/mmm (No. 139)
One atom of each set of equivalent atoms:
Sm: 0.000 0.000 0.000 [2 per cell]
Al: 0.000 0.500 0.250 [4 per cell]
Zn: 0.000 0.000 0.390 [4 per cell]



(3)
DFT (PBEsol) results for an optimized crystal structure of Sm2AlZn.

Results
Formation energy from the elements = -0.34 eV/atom

Lattice parameters (Å, degrees): 7.227 7.227 7.227 90.00 90.00 90.00
Space group Fm-3m (No. 225)
One atom of each set of equivalent atoms:
Sm: 0.250 0.250 0.250 [8 per cell]
Al: 0.000 0.000 0.000 [4 per cell]
Zn: 0.000 0.000 0.500 [4 per cell]



(4)
DFT (PBEsol) results for an optimized crystal structure of Al6SnTe10.

Results
Raw formation energy = -619 kJ/mol of formula units

Lattice parameters (Å, degrees): 14.4542 14.4542 17.6963 90.00 90.00 120.00
Space group P3_121 (No. 152)
One atom of each set of equivalent atoms:
Al: 0.0099 0.9265 0.4140 [6 per cell]
Al: 0.0770 0.2198 0.9298 [6 per cell]
Al: 0.1155 0.5229 0.9330 [6 per cell]
Al: 0.1886 0.4457 0.4073 [6 per cell]
Al: 0.2529 0.6578 0.7480 [6 per cell]
Al: 0.2542 0.6785 0.2496 [6 per cell]
Sn: 0.0855 0.7405 0.8414 [6 per cell]
Te: 0.0000 0.1599 0.1667 [3 per cell]
Te: 0.0000 0.7487 0.6667 [3 per cell]
Te: 0.0009 0.3321 0.3350 [6 per cell]
Te: 0.0332 0.8958 0.0633 [6 per cell]
Te: 0.0569 0.5217 0.7918 [6 per cell]
Te: 0.0825 0.6626 0.0055 [6 per cell]
Te: 0.1351 0.2793 0.7894 [6 per cell]
Te: 0.1685 0.5105 0.1619 [6 per cell]
Te: 0.1734 0.3869 0.5464 [6 per cell]
Te: 0.1948 0.6324 0.3946 [6 per cell]
Te: 0.2302 0.6973 0.6036 [6 per cell]



(5)
DFT (PBEsol) results for an optimized crystal structure of Al2SnTe.

Results
Raw formation energy = -19 kJ/mol of formula units

Lattice parameters (Å, degrees): 6.195 6.195 12.481 90.00 90.00 90.00
Space group I-42d (No. 122)
One atom of each set of equivalent atoms:
Al: 0.234 0.250 0.125 [8 per cell]
Sn: 0.000 0.000 0.000 [4 per cell]
Te: 0.000 0.000 0.500 [4 per cell]



(6)
DFT (PBEsol) results for an optimized crystal structure of TiAlSn3.

Results
Formation energy from the elements = 0.35 eV/atom

Lattice parameters (Å, degrees): 5.203 5.203 5.203 90.00 90.00 90.00
Space group Pm-3m (No. 221)
One atom of each set of equivalent atoms:
Ti: 0.000 0.000 0.000 [1 per cell]
Al: 0.500 0.500 0.500 [1 per cell]
Sn: 0.000 0.000 0.500 [3 per cell]



(7)
DFT (PBEsol) results for an optimized crystal structure of Al2TlSn.

Results
Formation energy from the elements = 0.22 eV/atom

Lattice parameters (Å, degrees): 7.097 7.097 7.097 90.00 90.00 90.00
Space group Fm-3m (No. 225)
One atom of each set of equivalent atoms:
Al: 0.250 0.250 0.250 [8 per cell]
Tl: 0.000 0.000 0.000 [4 per cell]
Sn: 0.000 0.000 0.500 [4 per cell]



(8)
DFT (PBEsol) results for an optimized crystal structure of AlV6Sn.

Results
Formation energy from the elements = -0.11 eV/atom

Lattice parameters (Å, degrees): 4.827 4.827 4.827 90.00 90.00 90.00
Space group Pm-3 (No. 200)
One atom of each set of equivalent atoms:
Al: 0.000 0.000 0.000 [1 per cell]
V: 0.000 0.235 0.500 [6 per cell]
Sn: 0.500 0.500 0.500 [1 per cell]



(9)
DFT (PBEsol) results for an optimized crystal structure of Al2ZnSn2.

Results
Formation energy from the elements = 0.33 eV/atom

Lattice parameters (Å, degrees): 4.664 4.664 11.243 90.00 90.00 90.00
Space group I4/mmm (No. 139)
One atom of each set of equivalent atoms:
Al: 0.000 0.500 0.250 [4 per cell]
Zn: 0.000 0.000 0.000 [2 per cell]
Sn: 0.000 0.000 0.379 [4 per cell]



(10)
DFT (PBEsol) results for an optimized crystal structure of AlZn3Sn.

Results
Formation energy from the elements = 0.52 eV/atom

Lattice parameters (Å, degrees): 4.772 4.772 4.772 90.00 90.00 90.00
Space group Pm-3m (No. 221)
One atom of each set of equivalent atoms:
Al: 0.000 0.000 0.000 [1 per cell]
Zn: 0.000 0.000 0.500 [3 per cell]
Sn: 0.500 0.500 0.500 [1 per cell]



(11)
DFT (PBEsol) results for an optimized crystal structure of SrAl3.

Results
Formation energy from the elements = -0.18 eV/atom

Lattice parameters (Å, degrees): 4.430 5.970 6.881 90.00 90.00 90.00
Space group Pmmn (No. 59, origin choice 2)
One atom of each set of equivalent atoms:
Sr: 0.250 0.250 0.085 [2 per cell]
Al: 0.250 0.507 0.624 [4 per cell]
Al: 0.250 0.750 0.285 [2 per cell]



(12)
DFT (PBEsol) results for an optimized crystal structure of SrAl3.

Results
Formation energy from the elements = 0.16 eV/atom

Lattice parameters (Å, degrees): 6.157 9.160 3.168 90.00 90.00 90.00
Space group Cmmm (No. 65)
One atom of each set of equivalent atoms:
Sr: 0.000 0.000 0.000 [2 per cell]
Al: 0.000 0.500 0.000 [2 per cell]
Al: 0.250 0.250 0.500 [4 per cell]